RbPHO3F | Alexandria via LeMat-Bulk | GGA-PBEsol | optimized geometry; DFT total energy = -343.1 eV per cell
1.0
-0.073 3.118 6.715
6.630 -3.640 -0.405
6.664 12.790 -5.866
F Rb H O P
8 8 8 24 8
Direct
0.018 0.644 0.249
0.419 0.909 0.918
0.919 0.409 0.582
0.982 0.356 0.751
0.081 0.591 0.418
0.482 0.856 0.749
0.518 0.144 0.251
0.581 0.091 0.082
0.243 0.225 0.550
0.063 0.749 0.706
0.937 0.251 0.294
0.563 0.249 0.794
0.437 0.751 0.206
0.257 0.275 0.050
0.757 0.775 0.450
0.743 0.725 0.950
0.394 0.613 0.589
0.819 0.487 0.120
0.106 0.887 0.089
0.181 0.513 0.880
0.319 0.987 0.380
0.894 0.113 0.911
0.606 0.387 0.411
0.681 0.013 0.620
0.325 0.367 0.232
0.788 0.655 0.136
0.355 0.660 0.027
0.865 0.127 0.995
0.288 0.155 0.364
0.825 0.867 0.268
0.085 0.914 0.157
0.351 0.857 0.392
0.149 0.643 0.892
0.585 0.414 0.343
0.175 0.133 0.732
0.135 0.873 0.005
0.365 0.627 0.505
0.855 0.160 0.473
0.851 0.357 0.108
0.212 0.345 0.864
0.645 0.340 0.973
0.915 0.086 0.843
0.635 0.373 0.495
0.649 0.143 0.608
0.675 0.633 0.768
0.712 0.845 0.636
0.145 0.840 0.527
0.415 0.586 0.657
0.084 0.222 0.799
0.584 0.722 0.701
0.742 0.239 0.032
0.242 0.739 0.468
0.758 0.261 0.532
0.416 0.278 0.299
0.916 0.778 0.201
0.258 0.761 0.968

SbPH4O4F6 | Alexandria via LeMat-Bulk | GGA-PBEsol | optimized geometry; DFT total energy = -172.3 eV per cell
1.0
-5.103 1.505 0.731
-0.499 -1.667 -5.080
-2.421 -12.601 4.961
H F O P Sb
8 12 8 2 2
Direct
0.870 0.565 0.692
0.886 0.908 0.891
0.565 0.870 0.192
0.130 0.435 0.308
0.114 0.092 0.109
0.092 0.114 0.609
0.435 0.130 0.808
0.908 0.886 0.391
0.673 0.235 0.457
0.327 0.765 0.543
0.381 0.538 0.368
0.235 0.673 0.957
0.765 0.327 0.043
0.538 0.381 0.868
0.265 0.208 0.019
0.208 0.265 0.519
0.792 0.735 0.481
0.619 0.462 0.632
0.462 0.619 0.132
0.735 0.792 0.981
0.929 0.016 0.835
0.016 0.929 0.335
0.984 0.071 0.665
0.071 0.984 0.165
0.367 0.970 0.770
0.970 0.367 0.270
0.633 0.030 0.230
0.030 0.633 0.730
0.921 0.079 0.250
0.079 0.921 0.750
0.500 0.500 0.500
0.500 0.500 0.000

HPdOF2 | Alexandria via LeMat-Bulk | GGA-PBEsol | optimized geometry; DFT total energy = -19.2 eV per cell
1.0
2.582 0.000 0.000
0.000 4.082 0.000
0.000 0.000 4.082
F Pd H O
2 1 1 1
Direct
0.000 0.000 0.500
0.000 0.500 0.000
0.500 0.500 0.500
0.000 0.000 0.000
0.500 0.000 0.000

Sb2H8PtO4F12 | Alexandria via LeMat-Bulk | GGA-PBEsol | optimized geometry; DFT total energy = -132.1 eV per cell
1.0
4.983 0.052 -0.132
1.979 7.790 -0.038
0.737 2.964 7.940
O Sb H F Pt
4 2 8 12 1
Direct
0.212 0.195 0.916
0.788 0.805 0.084
0.097 0.982 0.231
0.903 0.018 0.769
0.639 0.668 0.662
0.361 0.332 0.338
0.773 0.132 0.696
0.887 0.701 0.184
0.072 0.985 0.705
0.227 0.868 0.304
0.928 0.015 0.295
0.775 0.750 0.997
0.225 0.250 0.003
0.113 0.299 0.816
0.495 0.713 0.443
0.890 0.441 0.666
0.087 0.205 0.442
0.374 0.537 0.768
0.913 0.795 0.558
0.214 0.372 0.121
0.626 0.463 0.232
0.786 0.628 0.879
0.110 0.559 0.334
0.397 0.893 0.669
0.603 0.107 0.331
0.505 0.287 0.557
0.000 0.000 0.000

RbHO2F | Alexandria via LeMat-Bulk | GGA-PBEsol | optimized geometry; DFT total energy = -12.6 eV per cell
1.0
4.984 0.000 0.000
0.000 5.982 0.000
0.000 0.000 5.982
F O H Rb
1 2 1 1
Direct
0.500 0.000 0.000
0.000 0.000 0.500
0.000 0.500 0.000
0.500 0.500 0.500
0.000 0.000 0.000

RbTeHOF4 | Alexandria via LeMat-Bulk | GGA-PBEsol | optimized geometry; DFT total energy = -150.3 eV per cell
1.0
4.802 0.000 0.000
-2.401 7.864 0.108
0.000 -1.130 13.711
F Te Rb H O
16 4 4 4 4
Direct
0.988 0.185 0.482
0.197 0.185 0.982
0.779 0.797 0.235
0.699 0.051 0.645
0.352 0.051 0.145
0.012 0.815 0.518
0.301 0.949 0.355
0.221 0.203 0.765
0.853 0.354 0.084
0.982 0.203 0.265
0.147 0.646 0.916
0.648 0.949 0.855
0.500 0.354 0.584
0.803 0.815 0.018
0.500 0.646 0.416
0.018 0.797 0.735
0.946 0.830 0.879
0.116 0.170 0.621
0.884 0.830 0.379
0.054 0.170 0.121
0.547 0.304 0.368
0.453 0.696 0.632
0.757 0.304 0.868
0.243 0.696 0.132
0.194 0.642 0.378
0.553 0.358 0.122
0.806 0.358 0.622
0.447 0.642 0.878
0.368 0.373 0.151
0.005 0.373 0.651
0.995 0.627 0.349
0.632 0.627 0.849

Which of these has the lowest DFT total energy?
RbPHO3F